Computed, not measured: a relaxed IrPtI2N crystal at the PBE level of DFT.

The space group is P4/mmm (No. 123) and the conventional cell measures 5.543, 5.543 and 3.662 Å, with angles of 90.00, 90.00 and 90.00 degrees. The asymmetric unit holds Ir at (0.000, 0.000, 0.000), Pt at (0.500, 0.500, 0.500), I at (0.000, 0.500, 0.000) and N at (0.000, 0.000, 0.500).

For the energy above the most stable polymorph in this dataset, the calculation gives 0 kJ/mol of formula units. The raw formation energy is 807.3 meV/atom. The value obtained for the total energy is -22.3 eV for the cell shown. Its crystal system is tetragonal. The calculation puts the density of states at the Fermi level at 0.887 states/eV per atom.

***

Computed, not measured: a relaxed IrPtI2N crystal at the PBE level of DFT.

The space group is P4/mmm (No. 123) and the conventional cell measures 5.555, 5.555 and 3.654 Å, with angles of 90.00, 90.00 and 90.00 degrees. The asymmetric unit holds Ir at (0.000, 0.000, 0.000), Pt at (0.500, 0.500, 0.500), I at (0.000, 0.500, 0.500) and N at (0.500, 0.500, 0.000).

For the energy above the most stable polymorph in this dataset, the calculation gives 217 kJ/mol of formula units. The raw formation energy is 1257.9 meV/atom. The value obtained for the total energy is -20.0 eV for the cell shown. Its crystal system is tetragonal. The calculation puts the density of states at the Fermi level at 1.018 states/eV per atom.

***

Computed, not measured: a relaxed RbIrI2N crystal at the PBE level of DFT.

The space group is P4/mmm (No. 123) and the conventional cell measures 6.816, 6.816 and 5.496 Å, with angles of 90.00, 90.00 and 90.00 degrees. The asymmetric unit holds Rb at (0.000, 0.000, 0.000), Ir at (0.500, 0.500, 0.500), I at (0.000, 0.500, 0.000) and N at (0.000, 0.000, 0.500).

For the energy above the most stable polymorph in this dataset, the calculation gives 1038 kJ/mol of formula units. The raw formation energy is 1995.7 meV/atom. The value obtained for the total energy is -11.3 eV for the cell shown. Its crystal system is tetragonal. The calculation puts the density of states at the Fermi level at 1.930 states/eV per atom.

***

Computed, not measured: a relaxed RbIrIN2 crystal at the PBE level of DFT.

The space group is P4/mmm (No. 123) and the conventional cell measures 5.085, 5.085 and 7.303 Å, with angles of 90.00, 90.00 and 90.00 degrees. The asymmetric unit holds Rb at (0.000, 0.000, 0.000), Ir at (0.500, 0.500, 0.500), I at (0.000, 0.000, 0.500) and N at (0.000, 0.500, 0.000).

For the energy above the most stable polymorph in this dataset, the calculation gives 921 kJ/mol of formula units. The raw formation energy is 2847.0 meV/atom. The value obtained for the total energy is -13.8 eV for the cell shown. Its crystal system is tetragonal. The calculation puts the density of states at the Fermi level at 1.799 states/eV per atom.

***

Computed, not measured: a relaxed RbIrIN2 crystal at the PBE level of DFT.

The space group is P4/mmm (No. 123) and the conventional cell measures 4.148, 4.148 and 5.892 Å, with angles of 90.00, 90.00 and 90.00 degrees. The asymmetric unit holds Rb at (0.000, 0.000, 0.000), Ir at (0.500, 0.500, 0.500), I at (0.500, 0.500, 0.000) and N at (0.000, 0.500, 0.500).

For the energy above the most stable polymorph in this dataset, the calculation gives 0 kJ/mol of formula units. The raw formation energy is 937.7 meV/atom. The value obtained for the total energy is -23.3 eV for the cell shown. Its crystal system is tetragonal. The calculation puts the density of states at the Fermi level at 0.698 states/eV per atom.

***

Computed, not measured: a relaxed RbIrI2N crystal at the PBE level of DFT.

The space group is P4/mmm (No. 123) and the conventional cell measures 5.974, 5.974 and 3.778 Å, with angles of 90.00, 90.00 and 90.00 degrees. The asymmetric unit holds Rb at (0.000, 0.000, 0.000), Ir at (0.500, 0.500, 0.500), I at (0.000, 0.500, 0.500) and N at (0.500, 0.500, 0.000).

For the energy above the most stable polymorph in this dataset, the calculation gives 0 kJ/mol of formula units. The raw formation energy is -155.2 meV/atom. The value obtained for the total energy is -22.0 eV for the cell shown. Its crystal system is tetragonal. The calculation puts the density of states at the Fermi level at 0.397 states/eV per atom.

***

Computed, not measured: a relaxed ReIrI2N crystal at the PBE level of DFT.

The space group is P4/mmm (No. 123) and the conventional cell measures 5.404, 5.404 and 3.703 Å, with angles of 90.00, 90.00 and 90.00 degrees. The asymmetric unit holds Re at (0.000, 0.000, 0.000), Ir at (0.500, 0.500, 0.500), I at (0.000, 0.500, 0.000) and N at (0.000, 0.000, 0.500).

For the energy above the most stable polymorph in this dataset, the calculation gives 0 kJ/mol of formula units. The raw formation energy is 1202.0 meV/atom. The value obtained for the total energy is -26.7 eV for the cell shown. Its crystal system is tetragonal. The calculation puts the density of states at the Fermi level at 0.978 states/eV per atom.

***

Computed, not measured: a relaxed ReIrI2N crystal at the PBE level of DFT.

The space group is P4/mmm (No. 123) and the conventional cell measures 5.674, 5.674 and 3.676 Å, with angles of 90.00, 90.00 and 90.00 degrees. The asymmetric unit holds Re at (0.000, 0.000, 0.000), Ir at (0.500, 0.500, 0.500), I at (0.000, 0.500, 0.500) and N at (0.500, 0.500, 0.000).

For the energy above the most stable polymorph in this dataset, the calculation gives 103 kJ/mol of formula units. The raw formation energy is 1414.9 meV/atom. The value obtained for the total energy is -25.7 eV for the cell shown. Its crystal system is tetragonal. The calculation puts the density of states at the Fermi level at 0.611 states/eV per atom.

***

Computed, not measured: a relaxed IrRuIN2 crystal at the PBE level of DFT.

The space group is P4/mmm (No. 123) and the conventional cell measures 3.761, 3.761 and 7.984 Å, with angles of 90.00, 90.00 and 90.00 degrees. The asymmetric unit holds Ir at (0.000, 0.000, 0.000), Ru at (0.500, 0.500, 0.500), I at (0.000, 0.000, 0.500) and N at (0.000, 0.500, 0.000).

For the energy above the most stable polymorph in this dataset, the calculation gives 0 kJ/mol of formula units. The raw formation energy is 1296.3 meV/atom. The value obtained for the total energy is -29.9 eV for the cell shown. Its crystal system is tetragonal. The calculation puts the density of states at the Fermi level at 0.965 states/eV per atom.

***

Computed, not measured: a relaxed IrRu2IN crystal at the PBE level of DFT.

The space group is P4/mmm (No. 123) and the conventional cell measures 4.921, 4.921 and 4.876 Å, with angles of 90.00, 90.00 and 90.00 degrees. The asymmetric unit holds Ir at (0.000, 0.000, 0.000), Ru at (0.000, 0.500, 0.500), I at (0.000, 0.000, 0.500) and N at (0.500, 0.500, 0.000).

The raw formation energy is 3004.0 meV/atom. The value obtained for the total energy is -22.3 eV for the cell shown. Its crystal system is tetragonal. The calculation puts the density of states at the Fermi level at 1.249 states/eV per atom.

***

Computed, not measured: a relaxed IrRuIN2 crystal at the PBE level of DFT.

The space group is P4/mmm (No. 123) and the conventional cell measures 3.789, 3.789 and 6.001 Å, with angles of 90.00, 90.00 and 90.00 degrees. The asymmetric unit holds Ir at (0.000, 0.000, 0.000), Ru at (0.500, 0.500, 0.500), I at (0.500, 0.500, 0.000) and N at (0.000, 0.500, 0.500).

For the energy above the most stable polymorph in this dataset, the calculation gives 43 kJ/mol of formula units. The raw formation energy is 1385.1 meV/atom. The value obtained for the total energy is -29.4 eV for the cell shown. Its crystal system is tetragonal. The calculation puts the density of states at the Fermi level at 0.962 states/eV per atom.

***

Computed, not measured: a relaxed IrSIN2 crystal at the PBE level of DFT.

The space group is P4/mmm (No. 123) and the conventional cell measures 3.599, 3.599 and 8.258 Å, with angles of 90.00, 90.00 and 90.00 degrees. The asymmetric unit holds Ir at (0.000, 0.000, 0.000), S at (0.500, 0.500, 0.500), I at (0.500, 0.500, 0.000) and N at (0.000, 0.500, 0.500).

For the energy above the most stable polymorph in this dataset, the calculation gives 472 kJ/mol of formula units. The raw formation energy is 1937.0 meV/atom. The value obtained for the total energy is -21.5 eV for the cell shown. Its crystal system is tetragonal. The calculation puts the density of states at the Fermi level at 0.822 states/eV per atom.

***

Computed, not measured: a relaxed IrSIN2 crystal at the PBE level of DFT.

The space group is P4/mmm (No. 123) and the conventional cell measures 3.828, 3.828 and 5.894 Å, with angles of 90.00, 90.00 and 90.00 degrees. The asymmetric unit holds Ir at (0.000, 0.000, 0.000), S at (0.000, 0.000, 0.500), I at (0.500, 0.500, 0.500) and N at (0.000, 0.500, 0.000).

For the energy above the most stable polymorph in this dataset, the calculation gives 25 kJ/mol of formula units. The raw formation energy is 1010.8 meV/atom. The value obtained for the total energy is -26.1 eV for the cell shown. Its crystal system is tetragonal. The calculation puts the density of states at the Fermi level at 0.485 states/eV per atom.

***

Computed, not measured: a relaxed IrSIN2 crystal at the PBE level of DFT.

The space group is P4/mmm (No. 123) and the conventional cell measures 3.817, 3.817 and 5.946 Å, with angles of 90.00, 90.00 and 90.00 degrees. The asymmetric unit holds Ir at (0.000, 0.000, 0.000), S at (0.500, 0.500, 0.000), I at (0.500, 0.500, 0.500) and N at (0.000, 0.500, 0.500).

For the energy above the most stable polymorph in this dataset, the calculation gives 679 kJ/mol of formula units. The raw formation energy is 2364.7 meV/atom. The value obtained for the total energy is -19.4 eV for the cell shown. Its crystal system is tetragonal. The calculation puts the density of states at the Fermi level at 0.910 states/eV per atom.